The following is a DFT calculation (meta-GGA SCAN) of a crystal of Zr3ReP relaxed with PBEsol.

Structure (POSCAR):
```
Zr3ReP
1.0
4.951 0.000 0.000
0.000 4.951 0.000
0.000 0.000 4.951
Zr Re P
3 1 1
Cartesian
0.000 0.000 2.476
0.000 2.476 0.000
2.476 0.000 0.000
0.000 0.000 0.000
2.476 2.476 2.476
```

## Properties
DFT formation energy   2.6 eV/f.u.
Raw total energy   -170.944 eV per formula unit
Mass density   6.716 g/cm³
M_tot   0.003 μB/f.u.